Density functional theory data (PBEsol) for Li2CdSb after structural relaxation.

Results
Distance to the lowest polymorph of the same formula   0.0337 eV per atom
Uncorrected energy   -0.2060 Ry per atom
ΔE_f (raw)   -0.38 eV/atom

a = 3.1555 Å, b = 4.8941 Å, c = 4.8941 Å
α = 90.00°, β = 90.00°, γ = 90.00°
With the nearest neighbours (Å) after each atom.
Fractional positions:
Cd 0.5000 0.0000 0.0000  8 Li 2.91, 2 Cd 3.16
Sb 0.5000 0.5000 0.5000  8 Li 2.91, 2 Sb 3.16
Li 0.0000 0.0000 0.5000  4 Cd 2.91, 4 Sb 2.91, 2 Li 3.16
Li 0.0000 0.5000 0.0000  4 Cd 2.91, 4 Sb 2.91, 2 Li 3.16

Density functional theory data (PBEsol) for TiAl2Ag after structural relaxation.

Results
Energy relative to the elements   0.15 eV per atom
Uncorrected energy   -0.3529 Ry per atom

a = 5.5423 Å, b = 5.7369 Å, c = 5.7369 Å
α = 76.51°, β = 61.12°, γ = 61.12°
With the nearest neighbours (Å) after each atom.
Fractional positions:
Al 0.8750 0.4792 0.0208  2 Ag 2.51, 2 Ti 2.71, 2 Al 2.79
Ti 0.2500 0.5000 0.5000  4 Al 2.71, 2 Ag 2.77
Ag 0.7500 0.5000 0.5000  4 Al 2.51, 2 Ti 2.77
Al 0.3750 0.5208 0.9792  2 Ag 2.51, 2 Ti 2.71, 2 Al 2.79
Al 0.6458 0.9792 0.4792  2 Ag 2.51, 2 Ti 2.71, 2 Al 2.79
Ti 0.5000 0.0000 0.0000  4 Al 2.71, 2 Ag 2.77
Ag 0.0000 0.0000 0.0000  4 Al 2.51, 2 Ti 2.77
Al 0.1042 0.0208 0.5208  2 Ag 2.51, 2 Ti 2.71, 2 Al 2.79

Density functional theory data (PBEsol) for Li2Cu after structural relaxation.

Results
Energy relative to the elements   0.04 eV per atom
Uncorrected energy   -0.1999 Ry per atom

a = 2.5334 Å, b = 4.4380 Å, c = 7.2608 Å
α = 90.00°, β = 100.05°, γ = 90.00°
With the nearest neighbours (Å) after each atom.
Fractional positions:
Li 0.9517 0.7500 0.9034  6 Li 2.53-2.75, 6 Cu 2.69-2.74
Li 0.2812 0.7500 0.5625  8 Li 2.53-2.75, 4 Cu 2.65-2.66
Li 0.7188 0.2500 0.4375  8 Li 2.53-2.75, 4 Cu 2.65-2.66
Cu 0.3822 0.2500 0.7644  2 Cu 2.53, 10 Li 2.65-2.74
Li 0.0483 0.2500 0.0966  6 Li 2.53-2.75, 6 Cu 2.69-2.74
Cu 0.6178 0.7500 0.2356  2 Cu 2.53, 10 Li 2.65-2.74

Density functional theory data (PBEsol) for Hf2Zn2Hg after structural relaxation.

Results
Energy relative to the elements   -0.23 eV per atom
Uncorrected energy   -0.3809 Ry per atom

a = 4.0172 Å, b = 6.6462 Å, c = 6.6462 Å
α = 90.00°, β = 90.00°, γ = 90.00°
With the nearest neighbours (Å) after each atom.
Fractional positions:
Zn 0.0000 0.1288 0.3712  1 Zn 2.42, 2 Hg 2.61
Hg 0.0000 0.5000 0.5000  4 Zn 2.61
Hf 0.5000 0.1676 0.6676  6 Zn 2.77-2.83
Hf 0.5000 0.8324 0.3324  6 Zn 2.77-2.83
Hg 0.0000 0.0000 0.0000  4 Zn 2.61
Zn 0.0000 0.3712 0.8712  1 Zn 2.42, 2 Hg 2.61
Zn 0.0000 0.6288 0.1288  1 Zn 2.42, 2 Hg 2.61
Hf 0.5000 0.3324 0.1676  6 Zn 2.77-2.83
Zn 0.0000 0.8712 0.6288  1 Zn 2.42, 2 Hg 2.61
Hf 0.5000 0.6676 0.8324  6 Zn 2.77-2.83

Density functional theory data (PBEsol) for HfSe2Cl12 after structural relaxation.

Results
Uncorrected energy   -0.2696 Ry per atom
ΔE_f (raw)   -0.85 eV/atom

a = 8.7859 Å, b = 8.7859 Å, c = 12.3434 Å
α = 109.42°, β = 109.42°, γ = 93.78°
With the nearest neighbours (Å) after each atom.
Fractional positions:
Se 0.8208 0.7746 0.0879  3 Cl 2.19-2.20
Hf 0.3765 0.3765 0.7530  6 Cl 2.43-2.46
Cl 0.5909 0.9368 0.7420  1 Se 2.19
Cl 0.7415 0.0735 0.0909  1 Hf 2.46
Se 0.0246 0.5708 0.5879  3 Cl 2.19-2.20
Cl 0.4980 0.6524 0.9083  1 Hf 2.43
Cl 0.9131 0.7457 0.9386  1 Se 2.20
Cl 0.0552 0.9011 0.2420  1 Se 2.19
Cl 0.9957 0.6631 0.4386  1 Se 2.20
Cl 0.5059 0.1603 0.4083  1 Hf 2.43
Se 0.2671 0.3133 0.0879  3 Cl 2.19-2.20
Cl 0.0255 0.1929 0.9386  1 Se 2.20
Cl 0.6614 0.8518 0.2490  1 Hf 2.44, 1 Se 2.73
Cl 0.7799 0.5825 0.5950  1 Se 2.19
Cl 0.8325 0.5299 0.0950  1 Se 2.19
Cl 0.4103 0.2559 0.9083  1 Hf 2.43
Cl 0.5876 0.3972 0.2490  1 Hf 2.44, 1 Se 2.73
Cl 0.8152 0.0126 0.5950  1 Se 2.19
Cl 0.1018 0.4114 0.7490  1 Hf 2.44, 1 Se 2.73
Cl 0.3235 0.4915 0.5909  1 Hf 2.46
Se 0.5633 0.0171 0.5879  3 Cl 2.19-2.20
Cl 0.2626 0.5652 0.0950  1 Se 2.19
Cl 0.6472 0.3376 0.7490  1 Hf 2.44, 1 Se 2.73
Cl 0.4429 0.7755 0.4386  1 Se 2.20
Cl 0.2674 0.0993 0.5909  1 Hf 2.46
Cl 0.1511 0.8052 0.7420  1 Se 2.19
Cl 0.1868 0.3409 0.2420  1 Se 2.19
Hf 0.6265 0.1265 0.2530  6 Cl 2.43-2.46
Cl 0.3493 0.0174 0.0909  1 Hf 2.46
Cl 0.9024 0.2480 0.4083  1 Hf 2.43

Density functional theory data (PBEsol) for MnZn2 after structural relaxation.

Results
Energy relative to the elements   0.08 eV per atom
Uncorrected energy   -0.3107 Ry per atom

a = 3.7320 Å, b = 3.8183 Å, c = 5.8392 Å
α = 90.00°, β = 108.64°, γ = 90.00°
With the nearest neighbours (Å) after each atom.
Fractional positions:
Mn 0.5835 0.2500 0.1670  10 Zn 2.62-2.67, 2 Mn 2.66
Zn 0.9169 0.2500 0.8338  6 Zn 2.60-2.68, 6 Mn 2.62-2.67
Zn 0.7465 0.7500 0.4929  8 Zn 2.60-2.68, 4 Mn 2.63-2.65
Mn 0.4165 0.7500 0.8330  10 Zn 2.62-2.67, 2 Mn 2.66
Zn 0.2535 0.2500 0.5071  8 Zn 2.60-2.68, 4 Mn 2.63-2.65
Zn 0.0831 0.7500 0.1662  6 Zn 2.60-2.68, 6 Mn 2.62-2.67

Density functional theory data (PBEsol) for La6MnSi2S14 after structural relaxation.

Results
Uncorrected energy   -0.4943 Ry per atom
ΔE_f (raw)   -1.74 eV/atom

a = 5.6892 Å, b = 10.2258 Å, c = 10.2258 Å
α = 120.00°, β = 90.00°, γ = 90.00°
With the nearest neighbours (Å) after each atom.
Fractional positions:
La 0.7512 0.7662 0.1235  8 S 2.83-3.13
S 0.0267 0.5904 0.4774  1 Si 2.14
S 0.2699 0.9155 0.7572  1 Mn 2.57, 2 La 2.84-2.85
S 0.0267 0.5226 0.1130  1 Si 2.14
S 0.2699 0.2428 0.1583  1 Mn 2.57, 2 La 2.84-2.85
S 0.7479 0.0821 0.2423  1 Mn 2.58, 2 La 2.83-2.86
S 0.5205 0.4766 0.8875  1 Si 2.14
La 0.2444 0.1247 0.3572  8 S 2.84-3.05
S 0.5205 0.1125 0.5891  1 Si 2.14
S 0.5371 0.6667 0.3333  1 Si 2.10
Mn 0.5070 0.0000 0.0000  6 S 2.57-2.58
Si 0.1684 0.6667 0.3333  4 S 2.10-2.14
La 0.2444 0.2324 0.8753  8 S 2.84-3.05
S 0.7479 0.7577 0.8398  1 Mn 2.58, 2 La 2.83-2.86
S 0.7479 0.1602 0.9179  1 Mn 2.58, 2 La 2.83-2.86
S 0.5205 0.4109 0.5234  1 Si 2.14
S 0.0267 0.8870 0.4096  1 Si 2.14
La 0.2444 0.6428 0.7676  8 S 2.84-3.05
La 0.7512 0.8765 0.6428  8 S 2.83-3.13
S 0.0295 0.3333 0.6667  1 Si 2.10
Si 0.6602 0.3333 0.6667  4 S 2.10-2.14
La 0.7512 0.3572 0.2338  8 S 2.83-3.13
S 0.2699 0.8417 0.0845  1 Mn 2.57, 2 La 2.84-2.85

Density functional theory data (PBEsol) for Mn2FeBr after structural relaxation.

Results
Distance to the lowest polymorph of the same formula   0.1755 eV per atom
Uncorrected energy   -0.5081 Ry per atom
ΔE_f (raw)   0.68 eV/atom

a = 2.9972 Å, b = 2.9972 Å, c = 7.7265 Å
α = 78.82°, β = 78.82°, γ = 60.00°
With the nearest neighbours (Å) after each atom.
Fractional positions:
Fe 0.2573 0.2573 0.2282  3 Mn 2.38
Br 0.5008 0.5008 0.4977  3 Mn 2.64, 3 Fe 2.67
Mn 0.7458 0.7458 0.7627  3 Mn 2.55, 3 Br 2.64
Mn 0.9962 0.9962 0.0114  3 Fe 2.38, 3 Mn 2.55